Entry 1:
VASP calculation (PBE) on an optimized crystal structure of UNi12Ge6.

a = 6.6850 Å, b = 6.6850 Å, c = 6.6850 Å
α = 105.34°, β = 105.34°, γ = 105.34°
Each line ends with the local moment (μB).
Element x y z (fractional)
Ni (0.1482, 0.3993, 0.3993)  -0.06
Ge (0.7379, 0.7379, 0.2961)  0.00
Ni (0.1181, 0.8819, 0.5000)  0.00
U (0.0000, 0.0000, 0.0000)  2.24
Ni (0.5000, 0.8819, 0.1181)  0.00
Ni (0.1181, 0.5000, 0.8819)  0.00
Ni (0.3993, 0.3993, 0.1482)  -0.06
Ni (0.3993, 0.1482, 0.3993)  -0.06
Ge (0.7039, 0.2621, 0.2621)  0.00
Ni (0.8819, 0.1181, 0.5000)  0.00
Ge (0.2961, 0.7379, 0.7379)  0.00
Ge (0.7379, 0.2961, 0.7379)  0.00
Ge (0.2621, 0.7039, 0.2621)  0.00
Ni (0.6007, 0.6007, 0.8518)  -0.06
Ni (0.5000, 0.1181, 0.8819)  0.00
Ni (0.6007, 0.8518, 0.6007)  -0.06
Ni (0.8518, 0.6007, 0.6007)  -0.06
Ni (0.8819, 0.5000, 0.1181)  0.00
Ge (0.2621, 0.2621, 0.7039)  0.00

Properties
Energy = -5.884 eV/atom
Symmetry = No. 166


Entry 2:
VASP calculation (PBE) on an optimized crystal structure of UNi2Ge.

a = 4.1224 Å, b = 3.0020 Å, c = 5.2005 Å
α = 90.00°, β = 90.00°, γ = 90.00°
Each line ends with the local moment (μB).
Element x y z (fractional)
Ge (0.5000, 0.0000, 0.5000)  -0.03
U (0.5000, 0.5000, 0.0000)  1.31
Ni (0.0000, 0.0000, 0.7544)  -0.09
Ni (0.0000, 0.0000, 0.2456)  -0.09

Properties
Energy = -7.009 eV/atom
Symmetry = No. 47


Entry 3:
VASP calculation (PBE) on an optimized crystal structure of UNi2Ge.

a = 4.4322 Å, b = 4.4322 Å, c = 4.4322 Å
α = 60.00°, β = 60.00°, γ = 60.00°
Each line ends with the local moment (μB).
Element x y z (fractional)
Ni (0.2500, 0.2500, 0.2500)  0.06
Ge (0.5000, 0.5000, 0.5000)  0.01
U (0.0000, 0.0000, 0.0000)  -0.36
Ni (0.7500, 0.7500, 0.7500)  0.06

Properties
Energy = -7.114 eV/atom
Symmetry = No. 225


Entry 4:
VASP calculation (PBE) on an optimized crystal structure of UNiGe.

a = 3.5743 Å, b = 4.1758 Å, c = 4.1758 Å
α = 120.00°, β = 90.00°, γ = 90.00°
Each line ends with the local moment (μB).
Element x y z (fractional)
Ge (0.1667, 0.0000, 0.0000)  -0.03
Ni (0.1666, 0.3333, 0.6667)  -0.13
U (0.6667, 0.6667, 0.3333)  1.83

Properties
Energy = -7.558 eV/atom
Symmetry = No. 187


Entry 5:
VASP calculation (PBE) on an optimized crystal structure of UNi6Ge4.

a = 3.7911 Å, b = 6.8276 Å, c = 6.8276 Å
α = 120.00°, β = 90.00°, γ = 90.00°
Each line ends with the local moment (μB).
Element x y z (fractional)
Ni (0.5000, 0.2047, 0.7953)  0.15
U (0.0000, 0.0000, 0.0000)  2.18
Ge (0.0000, 0.3333, 0.6667)  0.01
Ni (0.5000, 0.5905, 0.7953)  0.15
Ge (0.5000, 0.3859, 0.1929)  0.01
Ge (0.5000, 0.8071, 0.1929)  0.01
Ni (0.5000, 0.2047, 0.4095)  0.15
Ni (0.0000, 0.5370, 0.0739)  0.10
Ni (0.0000, 0.9261, 0.4630)  0.10
Ni (0.0000, 0.5370, 0.4630)  0.10
Ge (0.5000, 0.8071, 0.6141)  0.01

Properties
Energy = -6.201 eV/atom
Symmetry = No. 187


Entry 6:
VASP calculation (PBE) on an optimized crystal structure of UNiGe.

a = 4.0044 Å, b = 4.1732 Å, c = 6.2561 Å
α = 90.00°, β = 108.63°, γ = 90.00°
Each line ends with the local moment (μB).
Element x y z (fractional)
U (0.0666, 0.7500, 0.1326)  1.22
Ge (0.3653, 0.7500, 0.7310)  -0.01
Ge (0.6347, 0.2500, 0.2690)  -0.01
Ni (0.7400, 0.7500, 0.4807)  0.04
U (0.9334, 0.2500, 0.8674)  1.22
Ni (0.2600, 0.2500, 0.5193)  0.04

Properties
Energy = -7.605 eV/atom
Symmetry = No. 63


no.,density (g cm⁻³)
1,8.828
2,11.045
3,11.546
4,11.363
5,9.556
6,12.382